Ag2AuSe2 after structural relaxation. Source: Alexandria via LeMat-Bulk, functional PBE.

VASP energy in eV per cell: -31.6
V in Å³ per atom: 26.2
Excess energy over the best structure of this formula in the dataset in kJ/mol of formula units: 0
Symmetry: C2/c
Raw formation energy in eV per atom: 0.028

abc: 7.612 8.243 8.243
angles: 66.58 134.16 134.16
Element x y z (fractional)
Ag1 0.500 0.500 0.000
Ag2 0.000 0.500 0.500
Ag3 0.500 0.500 0.500
Ag4 0.000 0.000 0.500
Au1 0.250 0.991 0.009
Au2 0.750 0.009 0.991
Se1 0.639 0.773 0.751
Se2 0.361 0.227 0.249
Se3 0.139 0.751 0.773
Se4 0.861 0.249 0.227